! RbTmCoF6, optimized geometry, DFT PBE with a Hubbard U; values from VASP
! * density: 5.00 Mg/m³
! * M_tot: 6.00 Bohr magnetons per cell
! * uncorrected energy: -5.568 eV per atom
&SYSTEM
  ibrav = 0, nat = 18, ntyp = 4
/
ATOMIC_SPECIES
Rb 85.47 Rb.upf
Tm 168.93 Tm.upf
Co 58.93 Co.upf
F 19.00 F.upf
ATOMIC_POSITIONS angstrom
Rb 0.000 1.886 1.007
Rb 3.643 1.886 4.161
Tm 3.643 0.000 0.000
Tm 0.000 0.000 5.168
Co 1.821 1.886 -2.584
Co 1.821 -1.886 2.584
F 1.763 -0.376 1.204
F 5.523 -0.376 1.204
F 3.643 1.886 -1.592
F 1.763 3.396 -1.204
F 1.880 -0.376 3.964
F 3.643 1.886 1.098
F 0.000 1.886 4.070
F 1.763 4.147 1.204
F 1.880 0.376 6.372
F 0.000 1.886 6.760
F -1.880 4.147 3.964
F 1.880 4.147 3.964
CELL_PARAMETERS angstrom
-3.643 3.771 5.168
3.643 -3.771 5.168
3.643 3.771 -5.168